No. 1
Density functional theory data (PBE) for crystalline PrDy4Sc5 at its relaxed geometry.

Results
D(E_F) (states/eV/f.u.): 15.62
Calculated volume (Å³/atom): 29.060
Energy of formation from the pure elements (meV per atom): 252

abc: 5.7471 7.6695 7.6695
angles: 81.93 68.00 68.00
Last column: nearest neighbours and their distance in Å.
Fractional positions:
Pr1 0.2063 0.0000 0.0000  2 Sc 2.73-3.02
Dy1 0.4791 0.3250 0.6751  5 Sc 3.14-3.48
Dy2 0.8041 0.6751 0.6750  5 Sc 3.14-3.48
Dy3 0.1541 0.3249 0.3250  5 Sc 3.14-3.48
Dy4 0.4791 0.6750 0.3249  5 Sc 3.14-3.48
Sc1 0.7368 0.3798 0.0000  3 Sc 3.05-3.34, 2 Dy 3.14, 1 Pr 3.14
Sc2 0.1166 0.0000 0.6202  3 Sc 3.05-3.34, 2 Dy 3.14, 1 Pr 3.14
Sc3 0.7368 0.0000 0.3798  3 Sc 3.05-3.34, 2 Dy 3.14, 1 Pr 3.14
Sc4 0.1166 0.6202 0.0000  3 Sc 3.05-3.34, 2 Dy 3.14, 1 Pr 3.14
Sc5 0.6808 0.0000 0.0000  2 Pr 2.73-3.02, 4 Sc 3.05

=====

No. 2
Density functional theory data (PBE) for crystalline PrDy12Sc3 at its relaxed geometry.

Results
D(E_F) (states/eV/f.u.): 23.60
Calculated volume (Å³/atom): 30.363
Energy of formation from the pure elements (meV per atom): 38

abc: 4.9583 4.9583 19.7610
angles: 90.00 90.00 90.00
Last column: nearest neighbours and their distance in Å.
Fractional positions:
Pr1 0.0000 0.0000 0.0000  12 Dy 3.51-3.58
Dy1 0.5000 0.5000 0.0000  4 Pr 3.51, 8 Dy 3.58
Dy2 0.5000 0.5000 0.2550  8 Dy 3.46-3.49, 4 Sc 3.51
Dy3 0.5000 0.5000 0.5000  8 Dy 3.47, 4 Sc 3.51
Dy4 0.5000 0.5000 0.7450  8 Dy 3.46-3.49, 4 Sc 3.51
Dy5 0.5000 0.0000 0.1310  2 Sc 3.47, 8 Dy 3.49-3.58, 2 Pr 3.58
Dy6 0.5000 0.0000 0.3770  8 Dy 3.46-3.51, 4 Sc 3.47-3.48
Dy7 0.5000 0.0000 0.6230  8 Dy 3.46-3.51, 4 Sc 3.47-3.48
Dy8 0.5000 0.0000 0.8690  2 Sc 3.47, 8 Dy 3.49-3.58, 2 Pr 3.58
Dy9 0.0000 0.5000 0.1310  2 Sc 3.47, 8 Dy 3.49-3.58, 2 Pr 3.58
Dy10 0.0000 0.5000 0.3770  8 Dy 3.46-3.51, 4 Sc 3.47-3.48
Dy11 0.0000 0.5000 0.6230  8 Dy 3.46-3.51, 4 Sc 3.47-3.48
Dy12 0.0000 0.5000 0.8690  2 Sc 3.47, 8 Dy 3.49-3.58, 2 Pr 3.58
Sc1 0.0000 0.0000 0.2537  12 Dy 3.47-3.51
Sc2 0.0000 0.0000 0.5000  12 Dy 3.47-3.51
Sc3 0.0000 0.0000 0.7463  12 Dy 3.47-3.51

=====

Please write out number 2 again, unchanged.
Density functional theory data (PBE) for crystalline PrDy12Sc3 at its relaxed geometry.

Results
D(E_F) (states/eV/f.u.): 23.60
Calculated volume (Å³/atom): 30.363
Energy of formation from the pure elements (meV per atom): 38

abc: 4.9583 4.9583 19.7610
angles: 90.00 90.00 90.00
Last column: nearest neighbours and their distance in Å.
Fractional positions:
Pr1 0.0000 0.0000 0.0000  12 Dy 3.51-3.58
Dy1 0.5000 0.5000 0.0000  4 Pr 3.51, 8 Dy 3.58
Dy2 0.5000 0.5000 0.2550  8 Dy 3.46-3.49, 4 Sc 3.51
Dy3 0.5000 0.5000 0.5000  8 Dy 3.47, 4 Sc 3.51
Dy4 0.5000 0.5000 0.7450  8 Dy 3.46-3.49, 4 Sc 3.51
Dy5 0.5000 0.0000 0.1310  2 Sc 3.47, 8 Dy 3.49-3.58, 2 Pr 3.58
Dy6 0.5000 0.0000 0.3770  8 Dy 3.46-3.51, 4 Sc 3.47-3.48
Dy7 0.5000 0.0000 0.6230  8 Dy 3.46-3.51, 4 Sc 3.47-3.48
Dy8 0.5000 0.0000 0.8690  2 Sc 3.47, 8 Dy 3.49-3.58, 2 Pr 3.58
Dy9 0.0000 0.5000 0.1310  2 Sc 3.47, 8 Dy 3.49-3.58, 2 Pr 3.58
Dy10 0.0000 0.5000 0.3770  8 Dy 3.46-3.51, 4 Sc 3.47-3.48
Dy11 0.0000 0.5000 0.6230  8 Dy 3.46-3.51, 4 Sc 3.47-3.48
Dy12 0.0000 0.5000 0.8690  2 Sc 3.47, 8 Dy 3.49-3.58, 2 Pr 3.58
Sc1 0.0000 0.0000 0.2537  12 Dy 3.47-3.51
Sc2 0.0000 0.0000 0.5000  12 Dy 3.47-3.51
Sc3 0.0000 0.0000 0.7463  12 Dy 3.47-3.51

=====

> calculated volume of number 2 (PrDy12Sc3)?

30.363 Å³/atom

=====

> Which of these has the highest D(E_F)?

PrDy12Sc3